This record from Alexandria via LeMat-Bulk describes an optimized crystal structure of Cu2OsSe. The functional is PBE-GGA.

a b c (Å): 8.6260 8.6260 8.6260
angles (deg): 18.70 18.70 18.70
Closest atoms and distances in Å follow each position.
Fractional coordinates of all 4 atoms:
Cu 0.9987 0.9987 0.9987  3 Os 2.64, 3 Se 2.69, 6 Cu 2.80
Cu 0.5013 0.5013 0.5013  3 Os 2.64, 3 Se 2.69, 6 Cu 2.80
Os 0.2500 0.2500 0.2500  6 Cu 2.64, 6 Os 2.80
Se 0.7500 0.7500 0.7500  6 Cu 2.69, 6 Se 2.80

Computed properties:
E_tot	-5.2695	eV per atom



This record from Alexandria via LeMat-Bulk describes an optimized crystal structure of SmEr4Sc3. The functional is PBE-GGA.

a b c (Å): 6.0391 7.0106 10.8736
angles (deg): 90.00 90.00 90.00
Closest atoms and distances in Å follow each position.
Fractional coordinates of all 16 atoms:
Sm 0.1494 0.3809 0.0000  6 Sc 3.36-3.47, 6 Er 3.42-3.58
Sm 0.6494 0.6191 0.5000  6 Sc 3.36-3.47, 6 Er 3.42-3.58
Er 0.1408 0.8698 0.0000  4 Sc 3.38-3.53, 6 Er 3.38-3.55, 2 Sm 3.43-3.58
Er 0.6463 0.1296 0.0000  6 Er 3.38-3.55, 4 Sc 3.38-3.56, 2 Sm 3.48-3.51
Er 0.9846 0.1302 0.2542  5 Sc 3.34-3.57, 6 Er 3.38-3.53, 1 Sm 3.42
Er 0.4846 0.8698 0.2458  5 Sc 3.34-3.57, 6 Er 3.38-3.53, 1 Sm 3.42
Er 0.1463 0.8704 0.5000  6 Er 3.38-3.55, 4 Sc 3.38-3.56, 2 Sm 3.48-3.51
Er 0.6408 0.1302 0.5000  4 Sc 3.38-3.53, 6 Er 3.38-3.55, 2 Sm 3.43-3.58
Er 0.4846 0.8698 0.7542  5 Sc 3.34-3.57, 6 Er 3.38-3.53, 1 Sm 3.42
Er 0.9846 0.1302 0.7458  5 Sc 3.34-3.57, 6 Er 3.38-3.53, 1 Sm 3.42
Sc 0.6506 0.6224 0.0000  6 Er 3.34-3.56, 4 Sc 3.36-3.37, 2 Sm 3.46-3.47
Sc 0.9794 0.6207 0.2510  2 Sm 3.36-3.37, 4 Sc 3.36-3.46, 6 Er 3.38-3.57
Sc 0.4794 0.3793 0.2490  2 Sm 3.36-3.37, 4 Sc 3.36-3.46, 6 Er 3.38-3.57
Sc 0.1506 0.3776 0.5000  6 Er 3.34-3.56, 4 Sc 3.36-3.37, 2 Sm 3.46-3.47
Sc 0.4794 0.3793 0.7510  2 Sm 3.36-3.37, 4 Sc 3.36-3.46, 6 Er 3.38-3.57
Sc 0.9794 0.6207 0.7490  2 Sm 3.36-3.37, 4 Sc 3.36-3.46, 6 Er 3.38-3.57

Computed properties:
formation energy	0.19	eV/f.u.
E_tot	-5.2221	eV per atom



Question: Which formula does entry 1 have?
Answer: Cu2OsSe